1.
Compound: Nd3Cu2Pd
Source: Alexandria
Functional: GGA-PBE
Structure: relaxed

Computed properties:
Symmetry ... Pnma, No. 62
DOS(E_F) ... 25.735 states/eV/cell
Total moment ... 0.000 μB per cell
Formation energy from the elements ... -1.9 eV per formula unit
Final energy ... -4.932 eV per atom

Cell: 11.9590 4.4334 11.2064 Å, 90.00 90.00 90.00°
Element x y z (fractional)
Nd 0.0497 0.2500 0.1254
Nd 0.1151 0.7500 0.5659
Nd 0.2183 0.2500 0.8046
Nd 0.2817 0.7500 0.3046
Nd 0.3849 0.2500 0.0659
Nd 0.4503 0.7500 0.6254
Nd 0.5497 0.2500 0.3746
Nd 0.6151 0.7500 0.9341
Nd 0.7183 0.2500 0.6954
Nd 0.7817 0.7500 0.1954
Nd 0.8849 0.2500 0.4341
Nd 0.9503 0.7500 0.8746
Cu 0.0182 0.7500 0.3075
Cu 0.1946 0.7500 0.0135
Cu 0.3054 0.2500 0.5135
Cu 0.4818 0.2500 0.8075
Cu 0.5182 0.7500 0.1925
Cu 0.6946 0.7500 0.4865
Cu 0.8054 0.2500 0.9865
Cu 0.9818 0.2500 0.6925
Pd 0.1269 0.2500 0.3779
Pd 0.3731 0.7500 0.8779
Pd 0.6269 0.2500 0.1221
Pd 0.8731 0.7500 0.6221

=====

2.
Compound: Cs2LiCd2
Source: Alexandria
Functional: GGA-PBE
Structure: relaxed

Computed properties:
Excess energy over the best structure of this formula in the dataset ... 0 meV per atom
Symmetry ... P4/mbm, No. 127
DOS(E_F) ... 7.520 states/eV/cell
Total moment ... 0.000 μB per cell
Formation energy from the elements ... 0.3 eV per formula unit
Final energy ... -1.039 eV per atom

Cell: 8.6173 8.6173 6.1155 Å, 90.00 90.00 90.00°
Element x y z (fractional)
Cs 0.1775 0.3225 0.0000
Cs 0.3225 0.8225 0.0000
Cs 0.6775 0.1775 0.0000
Cs 0.8225 0.6775 0.0000
Li 0.0000 0.0000 0.5000
Li 0.5000 0.5000 0.5000
Cd 0.1289 0.6289 0.5000
Cd 0.3711 0.1289 0.5000
Cd 0.6289 0.8711 0.5000
Cd 0.8711 0.3711 0.5000

=====

3.
Compound: ReTcIF2
Source: Alexandria
Functional: GGA-PBE
Structure: relaxed

Computed properties:
Symmetry ... P4/mmm, No. 123
DOS(E_F) ... 4.939 states/eV/cell
Total moment ... 5.283 μB per cell
Final energy ... -5.249 eV per atom

Cell: 4.0606 4.0606 5.7801 Å, 90.00 90.00 90.00°
Element x y z (fractional)
Re 0.0000 0.0000 0.0000
Tc 0.5000 0.5000 0.5000
I 0.5000 0.5000 0.0000
F 0.0000 0.5000 0.5000
F 0.5000 0.0000 0.5000

=====

4.
Compound: ZrNi2Ru
Source: Alexandria
Functional: GGA-PBE
Structure: relaxed

Computed properties:
Symmetry ... R3m, No. 160
DOS(E_F) ... 15.389 states/eV/cell
Total moment ... 1.388 μB per cell
Formation energy from the elements ... 0.9 eV per formula unit
Final energy ... -7.116 eV per atom

Cell: 2.7761 2.7761 26.1421 Å, 90.00 90.00 120.00°
Element x y z (fractional)
Zr 0.0000 0.0000 0.0000
Zr 0.3333 0.6667 0.6667
Zr 0.6667 0.3333 0.3333
Ni 0.0000 0.0000 0.2454
Ni 0.0000 0.0000 0.5053
Ni 0.3333 0.6667 0.1720
Ni 0.3333 0.6667 0.9121
Ni 0.6667 0.3333 0.5787
Ni 0.6667 0.3333 0.8387
Ru 0.0000 0.0000 0.7627
Ru 0.3333 0.6667 0.4294
Ru 0.6667 0.3333 0.0960